(1)
YCoO3: relaxed, GGA+U.

a b c (Å): 6.178 6.178 11.410
angles (deg): 90.00 90.00 120.00
Positions (direct):
Y: 0.667 0.333 0.231
Y: 0.333 0.667 0.731
Y: 0.667 0.333 0.731
Y: 0.333 0.667 0.231
Y: 0.000 0.000 0.776
Y: 0.000 0.000 0.276
Co: 0.666 0.000 0.500
Co: 0.666 0.666 0.000
Co: 0.000 0.334 0.000
Co: 0.000 0.666 0.500
Co: 0.334 0.334 0.500
Co: 0.334 0.000 0.000
O: 0.667 0.333 0.022
O: 0.333 0.667 0.522
O: 0.667 0.333 0.522
O: 0.333 0.667 0.022
O: 0.000 0.000 0.982
O: 0.000 0.000 0.482
O: 0.358 0.000 0.840
O: 0.358 0.358 0.340
O: 0.000 0.642 0.340
O: 0.000 0.358 0.840
O: 0.642 0.642 0.840
O: 0.642 0.000 0.340
O: 0.308 0.000 0.165
O: 0.308 0.308 0.665
O: 0.000 0.692 0.665
O: 0.000 0.308 0.165
O: 0.692 0.692 0.165
O: 0.692 0.000 0.665

Properties
The calculation puts the final energy at -7.495 eV/atom. The crystal system is hexagonal. The value obtained for the magnetic moment is 12.1 μB per cell.

(2)
YCoO3: relaxed, GGA+U.

a b c (Å): 3.564 3.564 11.451
angles (deg): 90.00 90.00 120.00
Positions (direct):
Y: 0.000 0.000 0.500
Y: 0.000 0.000 0.000
Co: 0.667 0.333 0.750
Co: 0.333 0.667 0.250
O: 0.333 0.667 0.413
O: 0.667 0.333 0.913
O: 0.667 0.333 0.587
O: 0.333 0.667 0.087
O: 0.000 0.000 0.250
O: 0.000 0.000 0.750

Properties
The calculation puts the final energy at -7.430 eV/atom. The crystal system is hexagonal. The value obtained for the magnetic moment is 4.1 μB per cell.

(3)
YCoO3: relaxed, GGA+U.

a b c (Å): 4.269 4.269 4.269
angles (deg): 90.00 90.00 90.00
Positions (direct):
Y: 0.000 0.000 0.000
Co: 0.500 0.500 0.500
O: 0.000 0.500 0.000
O: 0.000 0.000 0.500
O: 0.500 0.000 0.000

Properties
The calculation puts the final energy at -6.300 eV/atom. The crystal system is cubic. The value obtained for the magnetic moment is 4.0 μB per cell.

(4)
Zn3CoO: relaxed, GGA+U.

a b c (Å): 4.564 4.564 4.564
angles (deg): 90.00 90.00 90.00
Positions (direct):
Zn: 0.000 0.500 0.000
Zn: 0.000 0.000 0.500
Zn: 0.500 0.000 0.000
Co: 0.000 0.000 0.000
O: 0.500 0.500 0.500

Properties
The calculation puts the energy relative to the lowest polymorph listed for this composition at 19.18 kcal/mol of atoms. The crystal system is cubic. The value obtained for the magnetic moment is 2.5 μB per cell.

Ρ across the listed records, respectively: 5.2 5.2 4.2 4.7 g cm⁻³.